First-principles (PBE+U) data for a geometry-optimized Ca2FeAsO6 structure, as listed in the Alexandria database.

Summary:
Uncorrected energy: -6.439 eV/atom

```
Ca2FeAsO6
1.0
-0.4632 -4.6331 -0.6420
5.1368 -0.4472 -0.4791
0.4112 -0.7488 5.1075
O Fe Ca As
6 1 2 1
Cartesian
3.6847 -3.7821 0.3998 O
-0.1038 -1.0379 -0.1438 O
3.8999 -4.1742 3.0735 O
0.9956 -3.5480 0.6506 O
1.2109 -3.9401 3.3243 O
2.6904 -1.4342 2.1983 O
2.5084 -3.2549 1.9460 Fe
2.5551 -0.3571 -0.2581 Ca
0.1922 -0.5080 2.5352 Ca
-0.2751 -2.7517 -0.3813 As
```